An optimized crystal structure of CsNaZn2Cd. Source: Alexandria, functional PBE.

The spin magnetization comes out at 0.00 μB/f.u. The mass density is 3.96 Mg/m³. For the total DFT energy (no corrections), the calculation gives -0.977 eV/atom. The formation energy comes out at 0.15 eV/atom.

It has space group P4/mmm (No. 123), with a = 5.305 Å, b = 5.305 Å, c = 5.941 Å, α = 90.00°, β = 90.00° and γ = 90.00°. The asymmetric unit holds Cs at (0.000, 0.000, 0.000), Na at (0.500, 0.500, 0.000), Zn at (0.000, 0.500, 0.500) and Cd at (0.500, 0.500, 0.500).

An optimized crystal structure of CsNb3Cd. Source: Alexandria, functional PBE.

The spin magnetization comes out at 0.00 μB/f.u. The energy above the most stable polymorph in this dataset comes out at 278 meV/atom. The mass density is 6.82 Mg/m³. For the total DFT energy (no corrections), the calculation gives -3.927 eV/atom. The formation energy comes out at 2.47 eV/atom.

It has space group Pm-3m (No. 221), with a = 5.035 Å, b = 5.035 Å, c = 5.035 Å, α = 90.00°, β = 90.00° and γ = 90.00°. The asymmetric unit holds Cs at (0.000, 0.000, 0.000), Nb at (0.000, 0.000, 0.500) and Cd at (0.500, 0.500, 0.500).